Record 1
The following is a DFT calculation (GGA-PBE) of an optimized crystal structure of CaThInN3.

a b c (Å): 7.329 3.526 8.201
angles (deg): 90.00 94.42 90.00
Fractional coordinates of all 12 atoms:
Ca: 0.128 0.250 0.141
Ca: 0.872 0.750 0.859
Th: 0.334 0.750 0.825
Th: 0.666 0.250 0.175
In: 0.360 0.750 0.401
In: 0.640 0.250 0.599
N: 0.133 0.250 0.864
N: 0.326 0.250 0.550
N: 0.385 0.750 0.133
N: 0.615 0.250 0.867
N: 0.674 0.750 0.450
N: 0.867 0.750 0.136

Record 2
The following is a DFT calculation (GGA-PBE) of an optimized crystal structure of CaTlIn2N.

a b c (Å): 6.134 6.134 4.244
angles (deg): 90.00 90.00 90.00
Fractional coordinates of all 5 atoms:
Ca: 0.000 0.000 0.000
Tl: 0.500 0.500 0.500
In: 0.000 0.500 0.000
In: 0.500 0.000 0.000
N: 0.000 0.000 0.500

Record 3
The following is a DFT calculation (GGA-PBE) of an optimized crystal structure of CaTlInN2.

a b c (Å): 4.383 4.383 5.938
angles (deg): 90.00 90.00 90.00
Fractional coordinates of all 5 atoms:
Ca: 0.000 0.000 0.000
Tl: 0.500 0.500 0.000
In: 0.000 0.000 0.500
N: 0.000 0.500 0.500
N: 0.500 0.000 0.500

Record 4
The following is a DFT calculation (GGA-PBE) of an optimized crystal structure of Ca3UIn2N6.

a b c (Å): 5.863 5.863 6.013
angles (deg): 98.93 98.93 120.50
Fractional coordinates of all 12 atoms:
Ca: 0.000 0.000 0.000
Ca: 0.328 0.672 0.000
Ca: 0.672 0.328 0.000
U: 0.500 0.500 0.500
In: 0.167 0.833 0.500
In: 0.833 0.167 0.500
N: 0.108 0.422 0.271
N: 0.268 0.268 0.726
N: 0.422 0.108 0.271
N: 0.578 0.892 0.729
N: 0.732 0.732 0.274
N: 0.892 0.578 0.729

Record 5
The following is a DFT calculation (GGA-PBE) of an optimized crystal structure of Ca2UInN4.

a b c (Å): 5.811 3.490 6.047
angles (deg): 90.00 109.37 90.00
Fractional coordinates of all 8 atoms:
Ca: 0.000 0.000 0.000
Ca: 0.500 0.500 0.000
U: 0.000 0.500 0.500
In: 0.500 0.000 0.500
N: 0.222 0.000 0.724
N: 0.244 0.500 0.277
N: 0.756 0.500 0.723
N: 0.778 0.000 0.276

Record 6
The following is a DFT calculation (GGA-PBE) of an optimized crystal structure of Ca2VInN4.

a b c (Å): 7.048 6.417 5.546
angles (deg): 90.00 90.00 90.00
Fractional coordinates of all 16 atoms:
Ca: 0.249 0.179 0.000
Ca: 0.251 0.821 0.500
Ca: 0.749 0.821 0.500
Ca: 0.751 0.179 0.000
V: 0.000 0.664 0.020
V: 0.500 0.336 0.520
In: 0.000 0.343 0.511
In: 0.500 0.657 0.011
N: 0.000 0.403 0.900
N: 0.000 0.643 0.343
N: 0.222 0.811 0.940
N: 0.278 0.189 0.440
N: 0.500 0.357 0.843
N: 0.500 0.597 0.400
N: 0.722 0.189 0.440
N: 0.778 0.811 0.940

no.,final energy (eV/atom),raw formation energy (eV/atom)
1,-6.845,-0.656
2,-2.953,0.681
3,-3.494,1.257
4,-6.853,-0.793
5,-7.334,-0.918
6,-6.916,-0.771